# GGA+U PaMn6O12, relaxed
data_PaMn6O12
_cell_length_a 9.5118
_cell_length_b 9.5118
_cell_length_c 8.3645
_cell_angle_alpha 90.00
_cell_angle_beta 90.00
_cell_angle_gamma 120.00
_space_group_name_H-M_alt 'R -3'
_space_group_IT_number 148
_space_group_name_Hall '-R 3'
loop_
_atom_site_label
_atom_site_type_symbol
_atom_site_fract_x
_atom_site_fract_y
_atom_site_fract_z
_atom_site_occupancy
Pa1 Pa 0.0000 0.0000 0.0000 1
Mn1 Mn 0.0230 0.2418 0.6364 1
O1 O 0.0081 0.1947 0.8623 1
O2 O 0.0083 0.2097 0.3928 1
# * E_tot: -148.0 eV/f.u.